P) VASP calculation (GGA-PBE) on Rb2Pb5Au3 after structural relaxation.

For the density of states at the Fermi level, the calculation gives 16.0 states/eV per cell.

The structure belongs to space group Cmc2_1 (No. 36); the cell edges are 5.055, 29.800 and 7.992 Å and the angles 90.00°, 90.00° and 90.00°. The inequivalent atoms are Rb at (0.000, 0.019, 0.000), Rb at (0.000, 0.322, 0.038), Pb at (0.000, 0.101, 0.359), Pb at (0.000, 0.204, 0.844), Pb at (0.000, 0.209, 0.248), Pb at (0.000, 0.376, 0.505), Pb at (0.000, 0.444, 0.172), Au at (0.000, 0.108, 0.734), Au at (0.000, 0.276, 0.549) and Au at (0.000, 0.445, 0.800).

Q) VASP calculation (GGA-PBE) on Rb2Pb5Au3 after structural relaxation.

For the density of states at the Fermi level, the calculation gives 17.4 states/eV per cell.

The structure belongs to space group Ibam (No. 72); the cell edges are 12.101, 14.488 and 7.282 Å and the angles 90.00°, 90.00° and 90.00°. The inequivalent atoms are Rb at (0.250, 0.132, 0.000), Pb at (0.000, 0.000, 0.250), Pb at (0.000, 0.250, 0.250), Pb at (0.139, 0.394, 0.000), Au at (0.000, 0.500, 0.250) and Au at (0.124, 0.125, 0.500).

It turns out Q) is the most stable, with the second structure 0.027 eV/atom higher.

P) VASP calculation (GGA-PBE) on RbPb2Au2 after structural relaxation.

For the density of states at the Fermi level, the calculation gives 7.2 states/eV per cell.

The structure belongs to space group I4/mmm (No. 139); the cell edges are 4.992, 4.992 and 12.179 Å and the angles 90.00°, 90.00° and 90.00°. The inequivalent atoms are Rb at (0.000, 0.000, 0.000), Pb at (0.000, 0.500, 0.250) and Au at (0.000, 0.000, 0.385).

Q) VASP calculation (GGA-PBE) on RbPb2Au2 after structural relaxation.

For the density of states at the Fermi level, the calculation gives 6.2 states/eV per cell.

The structure belongs to space group I4/mmm (No. 139); the cell edges are 5.332, 5.332 and 11.236 Å and the angles 90.00°, 90.00° and 90.00°. The inequivalent atoms are Rb at (0.000, 0.000, 0.000), Pb at (0.000, 0.000, 0.352) and Au at (0.000, 0.500, 0.250).

It turns out Q) is the most stable, with the second structure 0.007 eV/atom higher.

P) VASP calculation (GGA-PBE) on RbPb3Au2 after structural relaxation.

For the density of states at the Fermi level, the calculation gives 13.2 states/eV per cell.

The structure belongs to space group C2/m (No. 12); the cell edges are 19.420, 4.858 and 12.105 Å and the angles 90.00°, 105.60° and 90.00°. The inequivalent atoms are Rb at (0.000, 0.000, 0.000), Rb at (0.161, 0.000, 0.705), Pb at (0.000, 0.500, 0.500), Pb at (0.036, 0.000, 0.341), Pb at (0.118, 0.500, 0.201), Pb at (0.178, 0.500, 0.970), Pb at (0.211, 0.000, 0.381), Au at (0.040, 0.500, 0.795), Au at (0.145, 0.500, 0.459) and Au at (0.197, 0.000, 0.124).

Q) VASP calculation (GGA-PBE) on RbPb3Au2 after structural relaxation.

For the density of states at the Fermi level, the calculation gives 7.6 states/eV per cell.

The structure belongs to space group Cmcm (No. 63); the cell edges are 14.141, 9.324 and 5.796 Å and the angles 90.00°, 90.00° and 90.00°. The inequivalent atoms are Rb at (0.000, 0.159, 0.250), Pb at (0.000, 0.421, 0.750), Pb at (0.188, 0.209, 0.750) and Au at (0.193, 0.500, 0.000).

It turns out P) is the most stable, with the second structure 0.043 eV/atom higher.